# 1
Material: LiCe2PaSe4
Method: DFT, PBE-GGA
State: optimized geometry

Cell: 7.0935 4.0993 7.1839 Å, 90.00 109.32 90.00°
Last column: nearest neighbours and their distance in Å.
Sites, in units of the cell vectors:
Li  0.0000  0.0000  0.0000  6 Se 2.81-2.82
Ce  0.5000  0.0000  0.5000  6 Se 3.00-3.02
Ce  0.5000  0.5000  0.0000  6 Se 2.94-2.95
Pa  0.0000  0.5000  0.5000  6 Se 2.88
Se  0.2316  0.5000  0.2387  2 Li 2.82, 1 Pa 2.88, 3 Ce 2.95-3.00
Se  0.2361  0.0000  0.7543  1 Li 2.81, 2 Pa 2.88, 3 Ce 2.94-3.02
Se  0.7639  0.0000  0.2457  1 Li 2.81, 2 Pa 2.88, 3 Ce 2.94-3.02
Se  0.7684  0.5000  0.7613  2 Li 2.82, 1 Pa 2.88, 3 Ce 2.95-3.00

- VASP energy (eV/atom) = -6.1964

# 2
Material: LiTlOF
Method: DFT, PBE-GGA
State: optimized geometry

Cell: 12.1845 12.1845 12.1845 Å, 15.95 15.95 15.95°
Last column: nearest neighbours and their distance in Å.
Sites, in units of the cell vectors:
Li  0.2487  0.2487  0.2487  1 O 1.86
Li  0.7513  0.7513  0.7513  1 O 1.86
Tl  0.0000  0.0000  0.0000  6 O 2.29
Tl  0.5000  0.5000  0.5000  6 F 2.88
O  0.3002  0.3002  0.3002  1 Li 1.86
O  0.6998  0.6998  0.6998  1 Li 1.86
F  0.1081  0.1081  0.1081  3 Li 2.13
F  0.8919  0.8919  0.8919  3 Li 2.13

- VASP energy (eV/atom) = -4.4127

| no. | E_form (uncorrected) (eV/atom) | total magnetization (μB per cell) |
| --- | --- | --- |
| 1 | -1.54 | 3.009 |
| 2 | -1.64 | 0.162 |